one.
Entry from Alexandria via LeMat-Bulk: Mg3IrO after structural relaxation (PBE-GGA).

Unit cell a=4.875 b=4.875 c=4.875 alpha=90.00 beta=90.00 gamma=90.00
Space group Pm-3m (No. 221)
Asymmetric unit:
Mg 0.000 0.000 0.500 x3
Ir 0.000 0.000 0.000 x1
O 0.500 0.500 0.500 x1

Its crystal system is cubic.


two.
Entry from Alexandria via LeMat-Bulk: Mg3IrO after structural relaxation (PBE-GGA).

Unit cell a=4.149 b=4.149 c=4.149 alpha=90.00 beta=90.00 gamma=90.00
Space group Pm-3m (No. 221)
Asymmetric unit:
Mg 0.000 0.000 0.500 x3
Ir 0.500 0.500 0.500 x1
O 0.000 0.000 0.000 x1

Its crystal system is cubic.


Of them, two has the highest stability.